1) # PdRhI2N (PBE, relaxed)
# - crystal system = tetragonal
# - symmetry = P4/mmm (123)
data_PdRhI2N
_cell_length_a 5.622
_cell_length_b 5.622
_cell_length_c 3.710
_cell_angle_alpha 90.00
_cell_angle_beta 90.00
_cell_angle_gamma 90.00
_symmetry_space_group_name_H-M 'P 1'
_symmetry_Int_Tables_number 1
loop_
_symmetry_equiv_pos_as_xyz
'x,y,z'
loop_
_atom_site_label
_atom_site_fract_x
_atom_site_fract_y
_atom_site_fract_z
Pd1 0.000 0.000 0.000
Rh1 0.500 0.500 0.500
I1 0.000 0.500 0.000
I2 0.500 0.000 0.000
N1 0.000 0.000 0.500

2) # PdRhI2N (PBE, relaxed)
# - crystal system = tetragonal
# - symmetry = P4/mmm (123)
data_PdRhI2N
_cell_length_a 5.585
_cell_length_b 5.585
_cell_length_c 3.664
_cell_angle_alpha 90.00
_cell_angle_beta 90.00
_cell_angle_gamma 90.00
_symmetry_space_group_name_H-M 'P 1'
_symmetry_Int_Tables_number 1
loop_
_symmetry_equiv_pos_as_xyz
'x,y,z'
loop_
_atom_site_label
_atom_site_fract_x
_atom_site_fract_y
_atom_site_fract_z
Pd1 0.000 0.000 0.000
Rh1 0.500 0.500 0.500
I1 0.000 0.500 0.500
I2 0.500 0.000 0.500
N1 0.500 0.500 0.000

We find 2) to be the most stable, with the next structure 0.470 eV/atom higher.

1) # PdRuIN2 (PBE, relaxed)
# - crystal system = tetragonal
# - symmetry = P4/mmm (123)
data_PdRuIN2
_cell_length_a 3.868
_cell_length_b 3.868
_cell_length_c 7.793
_cell_angle_alpha 90.00
_cell_angle_beta 90.00
_cell_angle_gamma 90.00
_symmetry_space_group_name_H-M 'P 1'
_symmetry_Int_Tables_number 1
loop_
_symmetry_equiv_pos_as_xyz
'x,y,z'
loop_
_atom_site_label
_atom_site_fract_x
_atom_site_fract_y
_atom_site_fract_z
Pd1 0.000 0.000 0.000
Ru1 0.500 0.500 0.500
I1 0.000 0.000 0.500
N1 0.000 0.500 0.000
N2 0.500 0.000 0.000

2) # PdRuIN2 (PBE, relaxed)
# - crystal system = tetragonal
# - symmetry = P4/mmm (123)
data_PdRuIN2
_cell_length_a 3.814
_cell_length_b 3.814
_cell_length_c 5.992
_cell_angle_alpha 90.00
_cell_angle_beta 90.00
_cell_angle_gamma 90.00
_symmetry_space_group_name_H-M 'P 1'
_symmetry_Int_Tables_number 1
loop_
_symmetry_equiv_pos_as_xyz
'x,y,z'
loop_
_atom_site_label
_atom_site_fract_x
_atom_site_fract_y
_atom_site_fract_z
Pd1 0.000 0.000 0.000
Ru1 0.500 0.500 0.500
I1 0.500 0.500 0.000
N1 0.000 0.500 0.500
N2 0.500 0.000 0.500

We find 2) to be the most stable, with the next structure 0.979 eV/atom higher.

1) # PdSIN2 (PBE, relaxed)
# - crystal system = tetragonal
# - symmetry = P4/mmm (123)
data_PdSIN2
_cell_length_a 3.637
_cell_length_b 3.637
_cell_length_c 7.946
_cell_angle_alpha 90.00
_cell_angle_beta 90.00
_cell_angle_gamma 90.00
_symmetry_space_group_name_H-M 'P 1'
_symmetry_Int_Tables_number 1
loop_
_symmetry_equiv_pos_as_xyz
'x,y,z'
loop_
_atom_site_label
_atom_site_fract_x
_atom_site_fract_y
_atom_site_fract_z
Pd1 0.000 0.000 0.000
S1 0.500 0.500 0.500
I1 0.500 0.500 0.000
N1 0.000 0.500 0.500
N2 0.500 0.000 0.500

2) # PdSIN2 (PBE, relaxed)
# - crystal system = tetragonal
# - symmetry = P4/mmm (123)
data_PdSIN2
_cell_length_a 3.890
_cell_length_b 3.890
_cell_length_c 8.150
_cell_angle_alpha 90.00
_cell_angle_beta 90.00
_cell_angle_gamma 90.00
_symmetry_space_group_name_H-M 'P 1'
_symmetry_Int_Tables_number 1
loop_
_symmetry_equiv_pos_as_xyz
'x,y,z'
loop_
_atom_site_label
_atom_site_fract_x
_atom_site_fract_y
_atom_site_fract_z
Pd1 0.000 0.000 0.000
S1 0.000 0.000 0.500
I1 0.500 0.500 0.500
N1 0.000 0.500 0.000
N2 0.500 0.000 0.000

We find 1) to be the most stable, with the next structure 0.023 eV/atom higher.

1) # PdS2IN (PBE, relaxed)
# - crystal system = tetragonal
# - symmetry = P4/mmm (123)
data_PdS2IN
_cell_length_a 5.167
_cell_length_b 5.167
_cell_length_c 3.886
_cell_angle_alpha 90.00
_cell_angle_beta 90.00
_cell_angle_gamma 90.00
_symmetry_space_group_name_H-M 'P 1'
_symmetry_Int_Tables_number 1
loop_
_symmetry_equiv_pos_as_xyz
'x,y,z'
loop_
_atom_site_label
_atom_site_fract_x
_atom_site_fract_y
_atom_site_fract_z
Pd1 0.000 0.000 0.000
S1 0.000 0.500 0.500
S2 0.500 0.000 0.500
I1 0.500 0.500 0.500
N1 0.500 0.500 0.000

2) # PdS2IN (PBE, relaxed)
# - crystal system = tetragonal
# - symmetry = P4/mmm (123)
data_PdS2IN
_cell_length_a 5.031
_cell_length_b 5.031
_cell_length_c 3.754
_cell_angle_alpha 90.00
_cell_angle_beta 90.00
_cell_angle_gamma 90.00
_symmetry_space_group_name_H-M 'P 1'
_symmetry_Int_Tables_number 1
loop_
_symmetry_equiv_pos_as_xyz
'x,y,z'
loop_
_atom_site_label
_atom_site_fract_x
_atom_site_fract_y
_atom_site_fract_z
Pd1 0.000 0.000 0.000
S1 0.000 0.500 0.000
S2 0.500 0.000 0.000
I1 0.500 0.500 0.500
N1 0.000 0.000 0.500

We find 2) to be the most stable, with the next structure 0.589 eV/atom higher.

1) # Sb2PdIN (PBE, relaxed)
# - crystal system = tetragonal
# - symmetry = P4/mmm (123)
data_Sb2PdIN
_cell_length_a 4.801
_cell_length_b 4.801
_cell_length_c 4.680
_cell_angle_alpha 90.00
_cell_angle_beta 90.00
_cell_angle_gamma 90.00
_symmetry_space_group_name_H-M 'P 1'
_symmetry_Int_Tables_number 1
loop_
_symmetry_equiv_pos_as_xyz
'x,y,z'
loop_
_atom_site_label
_atom_site_fract_x
_atom_site_fract_y
_atom_site_fract_z
Sb1 0.000 0.500 0.000
Sb2 0.500 0.000 0.000
Pd1 0.000 0.000 0.500
I1 0.500 0.500 0.500
N1 0.500 0.500 0.000

2) # Sb2PdIN (PBE, relaxed)
# - crystal system = tetragonal
# - symmetry = P4/mmm (123)
data_Sb2PdIN
_cell_length_a 5.174
_cell_length_b 5.174
_cell_length_c 5.389
_cell_angle_alpha 90.00
_cell_angle_beta 90.00
_cell_angle_gamma 90.00
_symmetry_space_group_name_H-M 'P 1'
_symmetry_Int_Tables_number 1
loop_
_symmetry_equiv_pos_as_xyz
'x,y,z'
loop_
_atom_site_label
_atom_site_fract_x
_atom_site_fract_y
_atom_site_fract_z
Sb1 0.000 0.500 0.000
Sb2 0.500 0.000 0.000
Pd1 0.000 0.000 0.000
I1 0.000 0.000 0.500
N1 0.500 0.500 0.500

We find 1) to be the most stable, with the next structure 0.714 eV/atom higher.

1) # ScPdI2N (PBE, relaxed)
# - crystal system = tetragonal
# - symmetry = P4/mmm (123)
data_ScPdI2N
_cell_length_a 5.823
_cell_length_b 5.823
_cell_length_c 3.737
_cell_angle_alpha 90.00
_cell_angle_beta 90.00
_cell_angle_gamma 90.00
_symmetry_space_group_name_H-M 'P 1'
_symmetry_Int_Tables_number 1
loop_
_symmetry_equiv_pos_as_xyz
'x,y,z'
loop_
_atom_site_label
_atom_site_fract_x
_atom_site_fract_y
_atom_site_fract_z
Sc1 0.000 0.000 0.000
Pd1 0.500 0.500 0.500
I1 0.000 0.500 0.500
I2 0.500 0.000 0.500
N1 0.500 0.500 0.000

2) # ScPdI2N (PBE, relaxed)
# - crystal system = tetragonal
# - symmetry = P4/mmm (123)
data_ScPdI2N
_cell_length_a 5.803
_cell_length_b 5.803
_cell_length_c 3.992
_cell_angle_alpha 90.00
_cell_angle_beta 90.00
_cell_angle_gamma 90.00
_symmetry_space_group_name_H-M 'P 1'
_symmetry_Int_Tables_number 1
loop_
_symmetry_equiv_pos_as_xyz
'x,y,z'
loop_
_atom_site_label
_atom_site_fract_x
_atom_site_fract_y
_atom_site_fract_z
Sc1 0.000 0.000 0.000
Pd1 0.500 0.500 0.500
I1 0.000 0.500 0.000
I2 0.500 0.000 0.000
N1 0.000 0.000 0.500

We find 2) to be the most stable, with the next structure 0.249 eV/atom higher.

1) # PdSeIN2 (PBE, relaxed)
# - crystal system = tetragonal
# - symmetry = P4/mmm (123)
data_PdSeIN2
_cell_length_a 3.881
_cell_length_b 3.881
_cell_length_c 6.187
_cell_angle_alpha 90.00
_cell_angle_beta 90.00
_cell_angle_gamma 90.00
_symmetry_space_group_name_H-M 'P 1'
_symmetry_Int_Tables_number 1
loop_
_symmetry_equiv_pos_as_xyz
'x,y,z'
loop_
_atom_site_label
_atom_site_fract_x
_atom_site_fract_y
_atom_site_fract_z
Pd1 0.000 0.000 0.000
Se1 0.500 0.500 0.000
I1 0.500 0.500 0.500
N1 0.000 0.500 0.500
N2 0.500 0.000 0.500

2) # PdSeIN2 (PBE, relaxed)
# - crystal system = tetragonal
# - symmetry = P4/mmm (123)
data_PdSeIN2
_cell_length_a 3.907
_cell_length_b 3.907
_cell_length_c 8.560
_cell_angle_alpha 90.00
_cell_angle_beta 90.00
_cell_angle_gamma 90.00
_symmetry_space_group_name_H-M 'P 1'
_symmetry_Int_Tables_number 1
loop_
_symmetry_equiv_pos_as_xyz
'x,y,z'
loop_
_atom_site_label
_atom_site_fract_x
_atom_site_fract_y
_atom_site_fract_z
Pd1 0.000 0.000 0.000
Se1 0.500 0.500 0.500
I1 0.000 0.000 0.500
N1 0.000 0.500 0.000
N2 0.500 0.000 0.000

We find 2) to be the most stable, with the next structure 0.269 eV/atom higher.